# CrNiOF2 GGA+U optimized geometry
data_CrNiOF2
_space_group_name_H-M_alt 'P 4/m m m'
_space_group_IT_number 123
_space_group_name_Hall '-P 4 2'
_cell_length_a 3.809
_cell_length_b 3.809
_cell_length_c 4.104
_cell_angle_alpha 90.00
_cell_angle_beta 90.00
_cell_angle_gamma 90.00
loop_
_atom_site_label
_atom_site_fract_x
_atom_site_fract_y
_atom_site_fract_z
Cr1 0.000 0.000 0.000
Ni1 0.500 0.500 0.500
O1 0.500 0.500 0.000
F1 0.000 0.500 0.500
# Distance to the lowest polymorph of the same formula ... 0.0 meV per atom
# Total moment ... 6.00 μB per formula unit